AlZn2Cl (meta-GGA SCAN, PBEsol geometry); total magnetic moment = 0.00 Bohr magnetons per cell; E above lowest polymorph = 98 meV per atom; formation energy from raw total energies = -0.05 eV per atom
1.0
2.975 0.000 0.000
-1.487 2.692 0.000
0.000 0.000 9.400
Zn Al Cl
2 1 1
Direct
0.000 0.000 0.044
0.500 0.000 0.270
0.000 0.000 0.497
0.500 0.000 0.689

BeReW2 (meta-GGA SCAN, PBEsol geometry); total magnetic moment = 0.00 Bohr magnetons per cell; formation energy from the elements = 0.588 eV/f.u.
1.0
3.111 0.000 0.000
0.000 3.111 0.000
0.000 0.000 5.696
Re W Be
1 2 1
Direct
0.500 0.500 0.500
0.000 0.000 0.774
0.000 0.000 0.226
0.500 0.500 0.000

YP2PbCl (meta-GGA SCAN, PBEsol geometry); total magnetic moment = 0.00 Bohr magnetons per cell; formation energy from raw total energies = -0.31 eV per atom
1.0
-0.450 0.443 5.015
-3.068 -4.229 0.098
4.204 -3.036 0.645
Pb Y P Cl
1 1 2 1
Direct
0.500 0.500 0.500
0.000 0.000 0.000
0.000 0.000 0.500
0.000 0.500 0.000
0.500 0.000 0.000

Ca2TaTc (meta-GGA SCAN, PBEsol geometry); total magnetic moment = 0.00 Bohr magnetons per cell; E above lowest polymorph = 0 meV per atom; formation energy from the elements = 2.685 eV/f.u.
1.0
-2.844 -1.339 2.345
2.444 -2.724 1.409
1.716 5.312 1.835
Ca Tc Ta
2 1 1
Direct
0.750 0.250 0.500
0.250 0.750 0.500
0.000 0.000 0.000
0.500 0.500 0.000

BaIr2Cl (meta-GGA SCAN, PBEsol geometry); total magnetic moment = 0.00 Bohr magnetons per cell; E above lowest polymorph = 469 meV per atom; formation energy from raw total energies = 0.14 eV per atom
1.0
-2.684 -1.058 -0.910
1.930 -4.032 -1.004
-0.772 0.529 6.692
Ir Ba Cl
2 1 1
Direct
0.749 0.749 0.498
0.251 0.251 0.502
0.000 0.500 0.000
0.500 0.000 0.000

BeCrRu2 (meta-GGA SCAN, PBEsol geometry); total magnetic moment = 0.39 Bohr magnetons per cell; formation energy from the elements = -0.554 eV/f.u.
1.0
2.894 0.000 0.000
0.000 3.883 -0.021
-1.447 -1.916 4.105
Ru Cr Be
2 1 1
Direct
0.996 0.995 0.991
0.760 0.260 0.519
0.242 0.742 0.485
0.502 0.502 0.005

Ca2MgSe (meta-GGA SCAN, PBEsol geometry); total magnetic moment = 0.00 Bohr magnetons per cell; formation energy from raw total energies = -0.85 eV per atom
1.0
-1.122 -2.931 2.481
1.299 -3.148 -3.132
4.811 1.480 3.925
Ca Mg Se
2 1 1
Direct
0.000 0.984 0.968
0.500 0.284 0.568
0.000 0.699 0.397
0.500 0.531 0.061

Al2RuCl (meta-GGA SCAN, PBEsol geometry); total magnetic moment = 0.00 Bohr magnetons per cell; E above lowest polymorph = 307 meV per atom; formation energy from raw total energies = -0.23 eV per atom
1.0
3.002 0.000 0.000
0.000 4.302 -0.002
-1.501 -0.554 4.711
Ru Al Cl
1 2 1
Direct
0.284 0.163 0.568
0.018 0.086 0.035
0.725 0.661 0.450
0.473 0.590 0.947

Which of these has the highest total magnetic moment? BeCrRu2

Look up the total magnetic moment of the fifth one. 0.00 Bohr magnetons per cell